Record 1
# Sn2I2O (PBE, optimized geometry)
# * ΔE_f (raw): -0.812 eV per atom
data_Sn2I2O
_space_group_name_H-M_alt 'C 1 2/m 1'
_space_group_IT_number 12
_cell_length_a 13.4023
_cell_length_b 6.5181
_cell_length_c 9.7379
_cell_angle_alpha 90.00
_cell_angle_beta 125.91
_cell_angle_gamma 90.00
loop_
_space_group_symop_operation_xyz
'x,y,z'
'-x,-y,-z'
'-x,y,-z'
'x,-y,z'
'x+1/2,y+1/2,z'
'-x+1/2,-y+1/2,-z'
'-x+1/2,y+1/2,-z'
'x+1/2,-y+1/2,z'
loop_
_atom_site_label
_atom_site_type_symbol
_atom_site_fract_x
_atom_site_fract_y
_atom_site_fract_z
Sn1 Sn 0.0590 0.0000 0.3854
Sn2 Sn 0.2045 0.5000 0.1317
I1 I 0.0964 0.5000 0.3589
I2 I 0.1839 0.0000 0.0828
O1 O 0.1152 0.0000 0.6444

---

Record 2
# SnI3O (PBE, optimized geometry)
# * ΔE_f (raw): 0.255 eV per atom
# * energy above the most stable polymorph in this dataset: 0 meV per atom
data_SnI3O
_space_group_name_H-M_alt 'P m -3 m'
_space_group_IT_number 221
_space_group_name_Hall '-P 4 2 3'
_cell_length_a 5.2012
_cell_length_b 5.2012
_cell_length_c 5.2012
_cell_angle_alpha 90.00
_cell_angle_beta 90.00
_cell_angle_gamma 90.00
loop_
_atom_site_label
_atom_site_type_symbol
_atom_site_fract_x
_atom_site_fract_y
_atom_site_fract_z
Sn1 Sn 0.0000 0.0000 0.0000
I1 I 0.0000 0.5000 0.5000
O1 O 0.5000 0.5000 0.5000

---

Record 3
# Sn2IO (PBE, optimized geometry)
# * ΔE_f (raw): -0.406 eV per atom
# * energy above the most stable polymorph in this dataset: 0 meV per atom
data_Sn2IO
_space_group_name_H-M_alt 'I -4 2 d'
_space_group_IT_number 122
_space_group_name_Hall 'I -4 2bw'
_cell_length_a 5.8510
_cell_length_b 5.8510
_cell_length_c 14.3759
_cell_angle_alpha 90.00
_cell_angle_beta 90.00
_cell_angle_gamma 90.00
loop_
_atom_site_label
_atom_site_type_symbol
_atom_site_fract_x
_atom_site_fract_y
_atom_site_fract_z
Sn1 Sn 0.0780 0.2500 0.1250
I1 I 0.0000 0.0000 0.5000
O1 O 0.0000 0.0000 0.0000

---

Record 4
# Sn2IO (PBE, optimized geometry)
# * ΔE_f (raw): 0.205 eV per atom
# * energy above the most stable polymorph in this dataset: 612 meV per atom
data_Sn2IO
_space_group_name_H-M_alt 'F m -3 m'
_space_group_IT_number 225
_space_group_name_Hall '-F 4 2 3'
_cell_length_a 7.2962
_cell_length_b 7.2962
_cell_length_c 7.2962
_cell_angle_alpha 90.00
_cell_angle_beta 90.00
_cell_angle_gamma 90.00
loop_
_atom_site_label
_atom_site_type_symbol
_atom_site_fract_x
_atom_site_fract_y
_atom_site_fract_z
Sn1 Sn 0.2500 0.2500 0.2500
I1 I 0.0000 0.0000 0.0000
O1 O 0.0000 0.0000 0.5000

---

Which value of ΔE_f (raw) does entry 1 give? -0.812 eV per atom